# PBE PaSnO6, relaxed
# D(E_F) = 0.599 states/eV per atom
# Space group = Fm-3m (225)
# Distance to the lowest polymorph of the same formula = 88 meV per atom
# ΔE_f (raw) = -1304.2 kJ/mol of formula units
data_PaSnO6
_cell_length_a 5.929
_cell_length_b 5.929
_cell_length_c 5.929
_cell_angle_alpha 60.00
_cell_angle_beta 60.00
_cell_angle_gamma 60.00
_symmetry_space_group_name_H-M 'P 1'
_symmetry_Int_Tables_number 1
loop_
_symmetry_equiv_pos_as_xyz
'x,y,z'
loop_
_atom_site_label
_atom_site_fract_x
_atom_site_fract_y
_atom_site_fract_z
O1 0.246 0.246 0.754
O2 0.246 0.754 0.246
O3 0.246 0.754 0.754
O4 0.754 0.246 0.754
O5 0.754 0.246 0.246
O6 0.754 0.754 0.246
Pa1 0.500 0.500 0.500
Sn1 0.000 0.000 0.000